Entry 1:
{"formula": "CaZrTeO6", "functional": "PBE-GGA", "state": "relaxed", "formation_energy_uncorrected_mev_per_atom": -2288, "lattice_angstrom": [[-4.7280, -2.6083, 0.6670], [4.3736, -1.5231, 2.8555], [-2.5018, 6.3857, 7.2382]], "species": ["O", "Ca", "Te", "O", "O", "O", "O", "O", "O", "Zr", "O", "O", "Zr", "Te", "O", "O", "Ca", "O"], "frac_coords": [[0.6204, 0.6446, 0.1408], [0.0000, 0.0000, 0.0000], [0.6667, 0.3333, 0.7500], [0.6446, 0.6204, 0.6408], [0.9759, 0.3554, 0.6408], [0.3796, 0.0241, 0.6408], [0.0241, 0.6446, 0.3592], [0.3554, 0.9759, 0.1408], [0.3554, 0.3796, 0.3592], [0.3333, 0.6667, 0.7500], [0.6204, 0.9759, 0.3592], [0.9759, 0.6204, 0.8592], [0.6667, 0.3333, 0.2500], [0.3333, 0.6667, 0.2500], [0.0241, 0.3796, 0.1408], [0.3796, 0.3554, 0.8592], [0.0000, 0.0000, 0.5000], [0.6446, 0.0241, 0.8592]]}



Entry 2:
{"formula": "CaZrTe2O8", "functional": "PBE-GGA", "state": "relaxed", "formation_energy_uncorrected_mev_per_atom": -1733, "lattice_angstrom": [[-5.2614, -1.2333, -2.9701], [4.7713, -3.1768, -2.2732], [-0.7205, -1.5993, 5.9117]], "species": ["O", "Te", "O", "Te", "O", "O", "O", "O", "O", "Ca", "Zr", "O"], "frac_coords": [[0.9421, 0.2610, 0.3189], [0.7500, 0.2500, 0.5000], [0.7390, 0.0579, 0.6811], [0.5000, 0.5000, 0.0000], [0.4853, 0.6958, 0.7895], [0.3768, 0.0579, 0.3189], [0.9064, 0.6958, 0.2105], [0.3042, 0.0936, 0.7895], [0.3042, 0.5147, 0.2105], [0.0000, 0.0000, 0.0000], [0.2500, 0.7500, 0.5000], [0.9421, 0.6232, 0.6811]]}



Entry 3:
{"formula": "CaZrTeO5", "functional": "PBE-GGA", "state": "relaxed", "formation_energy_uncorrected_mev_per_atom": -2331, "lattice_angstrom": [[5.9391, 0.5739, -0.2458], [-1.1848, 5.8479, -0.2458], [-2.2752, -3.0732, 7.4962]], "species": ["O", "O", "Ca", "O", "Zr", "O", "O", "Ca", "Te", "O", "O", "Zr", "O", "O", "Te", "O"], "frac_coords": [[0.3438, 0.2762, 0.1407], [0.9744, 0.0256, 0.7500], [0.6948, 0.3052, 0.7500], [0.6562, 0.7238, 0.8593], [0.0000, 0.0000, 0.5000], [0.2894, 0.8146, 0.5351], [0.1854, 0.7106, 0.9649], [0.3052, 0.6948, 0.2500], [0.6920, 0.3080, 0.2500], [0.7106, 0.1854, 0.4649], [0.7238, 0.6562, 0.3593], [0.0000, 0.0000, 0.0000], [0.2762, 0.3438, 0.6407], [0.8146, 0.2894, 0.0351], [0.3080, 0.6920, 0.7500], [0.0256, 0.9744, 0.2500]]}



Number 1: total moment 0.000 μB per formula unit, E -7.115 eV/atom, calculated density 4.6 g/cm³. Number 2: total moment 0.000 μB per formula unit, E -6.441 eV/atom, calculated density 4.7 g/cm³. Number 3: total moment 0.000 μB per formula unit, E -7.142 eV/atom, calculated density 4.4 g/cm³.